The following is a GGA-PBE calculation of NaCd5In5 after structural relaxation, from Alexandria.

The structure in POSCAR format:
```
NaCd5In5
1.0
5.6710 0.0000 0.0000
-2.8355 4.9112 0.0000
0.0000 0.0000 10.6593
Na Cd In
1 5 5
direct
0.0000 0.0000 0.0000 Na
0.0054 0.5027 0.5000 Cd
0.4973 0.5027 0.5000 Cd
0.4973 0.9946 0.5000 Cd
0.6667 0.3333 0.2611 Cd
0.6667 0.3333 0.7389 Cd
0.0000 0.0000 0.3249 In
0.0000 0.0000 0.6751 In
0.3333 0.6667 0.1566 In
0.3333 0.6667 0.8434 In
0.6667 0.3333 0.0000 In
```

Calculated values
The value obtained for the density of states at the Fermi level is 4.771 states/eV/cell. As for the formation energy from the elements: 52 kJ/mol of formula units. The uncorrected energy is -1.731 eV per atom.



The following is a GGA-PBE calculation of NaCd3In after structural relaxation, from Alexandria.

The structure in POSCAR format:
```
NaCd3In
1.0
6.1800 0.0000 0.0000
0.0000 13.7329 0.0000
0.0000 0.0000 6.2264
Na Cd In
4 12 4
direct
0.0000 0.0000 0.0000 Na
0.0000 0.5000 0.0000 Na
0.5000 0.0000 0.5000 Na
0.5000 0.5000 0.5000 Na
0.0000 0.1027 0.4984 Cd
0.0000 0.3973 0.4984 Cd
0.0000 0.6027 0.5016 Cd
0.0000 0.8973 0.5016 Cd
0.1851 0.2500 0.1828 Cd
0.3149 0.7500 0.6828 Cd
0.5000 0.1027 0.0016 Cd
0.5000 0.3973 0.0016 Cd
0.5000 0.6027 0.9984 Cd
0.5000 0.8973 0.9984 Cd
0.6851 0.2500 0.3172 Cd
0.8149 0.7500 0.8172 Cd
0.1692 0.7500 0.1736 In
0.3308 0.2500 0.6736 In
0.6692 0.7500 0.3264 In
0.8308 0.2500 0.8264 In
```

Calculated values
The value obtained for the density of states at the Fermi level is 8.060 states/eV/cell. As for the formation energy from the elements: -18 kJ/mol of formula units. The uncorrected energy is -1.397 eV per atom.



The following is a GGA-PBE calculation of NaCd3In3 after structural relaxation, from Alexandria.

The structure in POSCAR format:
```
NaCd3In3
1.0
0.0000 6.9842 6.9842
6.9842 0.0000 6.9842
6.9842 6.9842 0.0000
Na Cd In
2 6 6
direct
0.2500 0.2500 0.2500 Na
0.7500 0.7500 0.7500 Na
0.1516 0.1516 0.8484 Cd
0.1516 0.8484 0.1516 Cd
0.1516 0.8484 0.8484 Cd
0.8484 0.1516 0.1516 Cd
0.8484 0.1516 0.8484 Cd
0.8484 0.8484 0.1516 Cd
0.3470 0.3470 0.6530 In
0.3470 0.6530 0.3470 In
0.3470 0.6530 0.6530 In
0.6530 0.3470 0.3470 In
0.6530 0.3470 0.6530 In
0.6530 0.6530 0.3470 In
```

Calculated values
The value obtained for the density of states at the Fermi level is 4.279 states/eV/cell. As for the formation energy from the elements: 223 kJ/mol of formula units. The uncorrected energy is -1.423 eV per atom.



The following is a GGA-PBE calculation of Na2Cd2In after structural relaxation, from Alexandria.

The structure in POSCAR format:
```
Na2Cd2In
1.0
7.8045 0.0000 0.0000
0.0000 7.8045 0.0000
0.0000 0.0000 4.4885
Na Cd In
4 4 2
direct
0.1702 0.3298 0.0000 Na
0.3298 0.8298 0.0000 Na
0.6702 0.1702 0.0000 Na
0.8298 0.6702 0.0000 Na
0.1321 0.6321 0.5000 Cd
0.3679 0.1321 0.5000 Cd
0.6321 0.8679 0.5000 Cd
0.8679 0.3679 0.5000 Cd
0.0000 0.0000 0.5000 In
0.5000 0.5000 0.5000 In
```

Calculated values
The value obtained for the density of states at the Fermi level is 4.058 states/eV/cell. As for the formation energy from the elements: -29 kJ/mol of formula units. The uncorrected energy is -1.501 eV per atom.



The following is a GGA-PBE calculation of Na2CdIn7 after structural relaxation, from Alexandria.

The structure in POSCAR format:
```
Na2CdIn7
1.0
0.0000 5.6607 5.6607
5.6607 0.0000 5.6607
5.6607 5.6607 0.0000
Na Cd In
2 1 7
direct
0.2500 0.2500 0.2500 Na
0.7500 0.7500 0.7500 Na
0.0000 0.0000 0.0000 Cd
0.2475 0.2475 0.7525 In
0.2475 0.7525 0.2475 In
0.2475 0.7525 0.7525 In
0.5000 0.5000 0.5000 In
0.7525 0.2475 0.2475 In
0.7525 0.2475 0.7525 In
0.7525 0.7525 0.2475 In
```

Calculated values
The value obtained for the density of states at the Fermi level is 5.532 states/eV/cell. As for the formation energy from the elements: 246 kJ/mol of formula units. The uncorrected energy is -2.017 eV per atom.



The following is a GGA-PBE calculation of Na2Cd2In after structural relaxation, from Alexandria.

The structure in POSCAR format:
```
Na2Cd2In
1.0
-2.0569 2.0569 8.6377
2.0569 -2.0569 8.6377
2.0569 2.0569 -8.6377
Na Cd In
2 2 1
direct
0.0992 0.0992 0.0000 Na
0.9008 0.9008 0.0000 Na
0.2500 0.7500 0.5000 Cd
0.7500 0.2500 0.5000 Cd
0.5000 0.5000 0.0000 In
```

Calculated values
The value obtained for the density of states at the Fermi level is 3.550 states/eV/cell. As for the formation energy from the elements: 14 kJ/mol of formula units. The uncorrected energy is -1.413 eV per atom.



The following is a GGA-PBE calculation of NaCdIn after structural relaxation, from Alexandria.

The structure in POSCAR format:
```
NaCdIn
1.0
-1.9741 1.9741 4.8967
1.9741 -1.9741 4.8967
1.9741 1.9741 -4.8967
Na Cd In
1 1 1
direct
0.0000 0.0000 0.0000 Na
0.3315 0.3315 0.0000 Cd
0.6732 0.6732 0.0000 In
```

Calculated values
The value obtained for the density of states at the Fermi level is 0.846 states/eV/cell. As for the formation energy from the elements: -21 kJ/mol of formula units. The uncorrected energy is -1.731 eV per atom.



The following is a GGA-PBE calculation of NaCd5In7 after structural relaxation, from Alexandria.

The structure in POSCAR format:
```
NaCd5In7
1.0
-2.8754 5.3958 5.5564
2.8754 -5.3958 5.5564
2.8754 5.3958 -5.5564
Na Cd In
1 5 7
direct
0.0000 0.0000 0.0000 Na
0.0029 0.0075 0.4956 Cd
0.0029 0.5073 0.9954 Cd
0.5119 0.0075 0.0046 Cd
0.5119 0.5073 0.5044 Cd
0.7947 0.2947 0.5000 Cd
0.2070 0.5060 0.7009 In
0.2180 0.7180 0.5000 In
0.3583 0.0059 0.3524 In
0.3620 0.3620 0.0000 In
0.6509 0.6509 0.0000 In
0.6536 0.0059 0.6476 In
0.8051 0.5060 0.2991 In
```

Calculated values
The value obtained for the density of states at the Fermi level is 5.328 states/eV/cell. As for the formation energy from the elements: 9 kJ/mol of formula units. The uncorrected energy is -1.921 eV per atom.